Entry 1:
# CeGa4Ag

Crystalline CeGa4Ag at its relaxed geometry (PBE-GGA, Alexandria).

Cell lengths 5.5365, 5.5365, 5.5365 Å; angles 60.00, 60.00, 60.00 degrees
Last column: nearest neighbours and their distance in Å.
Element x y z (fractional)
Ga 0.6246 0.6246 0.1261  6 Ga 2.76-2.78
Ga 0.6246 0.1261 0.6246  6 Ga 2.76-2.78
Ga 0.6246 0.6246 0.6246  6 Ga 2.76-2.78
Ga 0.1261 0.6246 0.6246  6 Ga 2.76-2.78
Ag 0.0000 0.0000 0.0000  12 Ga 3.25, 4 Ce 3.39
Ce 0.2500 0.2500 0.2500  12 Ga 3.25, 4 Ag 3.39

Summary:
The formation energy is -1.07 eV per formula unit. The calculation puts the calculated volume at 20.001 Å³ per atom. As for the space group: F-43m. The magnetization is 0.152 μB/atom.


Entry 2:
# Ta2AsPt

Crystalline Ta2AsPt at its relaxed geometry (PBE-GGA, Alexandria).

Cell lengths 7.1186, 7.1186, 5.7916 Å; angles 52.08, 52.08, 90.00 degrees
Last column: nearest neighbours and their distance in Å.
Element x y z (fractional)
As 0.5000 0.5000 0.0000  4 Ta 2.58, 2 Pt 2.86
As 0.2500 0.7500 0.5000  4 Ta 2.58, 2 Pt 2.86
Pt 0.0000 0.0000 0.0000  4 Ta 2.65, 2 As 2.86
Pt 0.7500 0.2500 0.5000  4 Ta 2.65, 2 As 2.86
Ta 0.6181 0.1250 0.2500  2 As 2.58, 2 Pt 2.65, 2 Ta 2.87
Ta 0.1319 0.6250 0.2500  2 As 2.58, 2 Pt 2.65, 2 Ta 2.87
Ta 0.3750 0.3819 0.7500  2 As 2.58, 2 Pt 2.65, 2 Ta 2.87
Ta 0.8750 0.8681 0.7500  2 As 2.58, 2 Pt 2.65, 2 Ta 2.87

Summary:
The formation energy is -0.44 eV per formula unit. The calculation puts the calculated volume at 18.144 Å³ per atom. As for the space group: I-42d. The magnetization is 0.000 μB/atom.


Entry 3:
# Tm2HgIr

Crystalline Tm2HgIr at its relaxed geometry (PBE-GGA, Alexandria).

Cell lengths 3.4662, 3.4662, 7.3665 Å; angles 90.00, 90.00, 90.00 degrees
Last column: nearest neighbours and their distance in Å.
Element x y z (fractional)
Ir 0.5000 0.5000 0.0000  8 Tm 2.93
Tm 0.0000 0.0000 0.7809  4 Ir 2.93, 4 Hg 3.21, 1 Tm 3.23
Tm 0.0000 0.0000 0.2191  4 Ir 2.93, 4 Hg 3.21, 1 Tm 3.23
Hg 0.5000 0.5000 0.5000  8 Tm 3.21, 4 Hg 3.47

Summary:
The formation energy is -2.97 eV per formula unit. The calculation puts the calculated volume at 22.126 Å³ per atom. As for the space group: P4/mmm. The magnetization is 0.000 μB/atom.


Entry 4:
# TmZn3Cd

Crystalline TmZn3Cd at its relaxed geometry (PBE-GGA, Alexandria).

Cell lengths 4.4188, 3.4711, 12.8079 Å; angles 97.79, 90.00, 90.00 degrees
Last column: nearest neighbours and their distance in Å.
Element x y z (fractional)
Tm 0.2500 0.0744 0.1487  12 Zn 3.05-3.10
Tm 0.7500 0.9256 0.8513  12 Zn 3.05-3.10
Zn 0.2500 0.3759 0.7519  3 Zn 2.53-2.57
Zn 0.7500 0.6241 0.2481  3 Zn 2.53-2.57
Zn 0.2500 0.4757 0.9514  3 Zn 2.53
Zn 0.7500 0.5243 0.0486  3 Zn 2.53
Zn 0.7500 0.3243 0.6486  2 Zn 2.57, 1 Cd 2.76
Zn 0.2500 0.6757 0.3514  2 Zn 2.57, 1 Cd 2.76
Cd 0.2500 0.7846 0.5691  7 Zn 2.76-2.99
Cd 0.7500 0.2154 0.4309  7 Zn 2.76-2.99

Summary:
The formation energy is -1.06 eV per formula unit. The calculation puts the calculated volume at 19.464 Å³ per atom. As for the space group: Cmcm. The magnetization is 0.000 μB/atom.


Entry 5:
# PaMo5

Crystalline PaMo5 at its relaxed geometry (PBE-GGA, Alexandria).

Cell lengths 3.2293, 4.6178, 7.3427 Å; angles 108.33, 90.00, 90.00 degrees
Last column: nearest neighbours and their distance in Å.
Element x y z (fractional)
Mo 0.0000 0.6760 0.3521  8 Mo 2.67-2.94
Mo 0.0000 0.3240 0.6479  8 Mo 2.67-2.94
Mo 0.5000 0.5000 0.0000  4 Pa 2.82, 4 Mo 2.94
Mo 0.5000 0.1715 0.3431  6 Mo 2.67-2.82, 2 Pa 2.89
Mo 0.5000 0.8285 0.6569  6 Mo 2.67-2.82, 2 Pa 2.89
Pa 0.0000 0.0000 0.0000  8 Mo 2.82-2.89

Summary:
The formation energy is 0.61 eV per formula unit. The calculation puts the calculated volume at 17.324 Å³ per atom. As for the space group: Cmmm. The magnetization is 0.000 μB/atom.


Entry 6:
# Ce4Se3Cl4

Crystalline Ce4Se3Cl4 at its relaxed geometry (PBE-GGA, Alexandria).

Cell lengths 3.9287, 8.5272, 9.6246 Å; angles 116.30, 101.78, 90.00 degrees
Last column: nearest neighbours and their distance in Å.
Element x y z (fractional)
Ce 0.2673 0.7673 0.5345  6 Cl 2.87-2.97, 2 Se 3.01
Ce 0.7327 0.2327 0.4655  6 Cl 2.87-2.97, 2 Se 3.01
Ce 0.5000 0.7713 0.0000  2 Cl 3.01, 6 Se 3.03-3.21
Ce 0.5000 0.2287 0.0000  2 Cl 3.01, 6 Se 3.03-3.21
Se 0.0969 0.0969 0.1937  6 Ce 3.01-3.21, 1 Se 3.26
Se 0.9031 0.9031 0.8063  6 Ce 3.01-3.21, 1 Se 3.26
Se 0.0000 0.5000 0.0000  4 Ce 3.03
Cl 0.3263 0.1418 0.6525  4 Ce 2.87-3.01, 1 Cl 3.15
Cl 0.6737 0.4893 0.3475  4 Ce 2.87-3.01, 1 Cl 3.15
Cl 0.6737 0.8582 0.3475  4 Ce 2.87-3.01, 1 Cl 3.15
Cl 0.3263 0.5107 0.6525  4 Ce 2.87-3.01, 1 Cl 3.15

Summary:
The calculation puts the calculated volume at 25.589 Å³ per atom. As for the space group: Immm. The magnetization is 0.488 μB/atom.


Number 1: uncorrected energy -3.66 eV per atom. Number 2: uncorrected energy -8.71 eV per atom. Number 3: uncorrected energy -5.27 eV per atom. Number 4: uncorrected energy -2.05 eV per atom. Number 5: uncorrected energy -10.51 eV per atom. Number 6: uncorrected energy -5.70 eV per atom.